[1]
The following is a DFT calculation (GGA-PBE) of crystalline LiCaSc2 at its relaxed geometry.

abc: 6.2563 10.5329 3.3105
angles: 90.00 90.00 90.00
Fractional positions:
Li 0.0000 0.0000 0.0000
Li 0.5000 0.5000 0.0000
Ca 0.0000 0.5000 0.0000
Ca 0.5000 0.0000 0.0000
Sc 0.2500 0.2500 0.5000
Sc 0.2500 0.7500 0.5000
Sc 0.7500 0.2500 0.5000
Sc 0.7500 0.7500 0.5000

Calculated values
Space group: Cmmm, No. 65



[2]
The following is a DFT calculation (GGA-PBE) of crystalline Li2CaSc at its relaxed geometry.

abc: 4.4825 4.4825 10.4544
angles: 90.00 90.00 90.00
Fractional positions:
Li 0.0000 0.0000 0.0000
Li 0.0000 0.5000 0.2500
Li 0.5000 0.0000 0.7500
Li 0.5000 0.5000 0.5000
Ca 0.0000 0.0000 0.5000
Ca 0.5000 0.5000 0.0000
Sc 0.0000 0.5000 0.7500
Sc 0.5000 0.0000 0.2500

Calculated values
Space group: I-4m2, No. 119



[3]
The following is a DFT calculation (GGA-PBE) of crystalline LiCaSc2 at its relaxed geometry.

abc: 3.3059 3.3059 34.1983
angles: 90.00 90.00 120.00
Fractional positions:
Li 0.0000 0.0000 0.0000
Li 0.3333 0.6667 0.6667
Li 0.6667 0.3333 0.3333
Ca 0.0000 0.0000 0.5000
Ca 0.3333 0.6667 0.1667
Ca 0.6667 0.3333 0.8333
Sc 0.0000 0.0000 0.4076
Sc 0.0000 0.0000 0.5924
Sc 0.3333 0.6667 0.0743
Sc 0.3333 0.6667 0.2590
Sc 0.6667 0.3333 0.7410
Sc 0.6667 0.3333 0.9257

Calculated values
Space group: R-3m, No. 166



[4]
The following is a DFT calculation (GGA-PBE) of crystalline LiCaSc2 at its relaxed geometry.

abc: 5.3252 5.3252 7.5610
angles: 90.00 90.00 90.00
Fractional positions:
Li 0.0000 0.0000 0.0000
Li 0.5000 0.5000 0.5000
Ca 0.0000 0.5000 0.2500
Ca 0.5000 0.0000 0.7500
Sc 0.0000 0.0000 0.5000
Sc 0.0000 0.5000 0.7500
Sc 0.5000 0.0000 0.2500
Sc 0.5000 0.5000 0.0000

Calculated values
Space group: I-4m2, No. 119



Number 1: ΔE_f 0.3199 eV/atom, VASP energy -3.8247 eV/atom. Number 2: ΔE_f 0.2657 eV/atom, VASP energy -2.7744 eV/atom. Number 3: ΔE_f 0.3581 eV/atom, VASP energy -3.7865 eV/atom. Number 4: ΔE_f 0.2908 eV/atom, VASP energy -3.8538 eV/atom.